No. 1
This record from the Alexandria database describes a relaxed structure of AgHgPb3. The functional is PBE.

```
data_AgHgPb3
_chemical_formula_sum 'Ag1 Hg1 Pb3'
_space_group_name_H-M_alt 'P m -3 m'
_space_group_IT_number 221
_space_group_name_Hall '-P 4 2 3'
_cell_length_a 5.537
_cell_length_b 5.537
_cell_length_c 5.537
_cell_angle_alpha 90.00
_cell_angle_beta 90.00
_cell_angle_gamma 90.00
loop_
_atom_site_label
_atom_site_type_symbol
_atom_site_fract_x
_atom_site_fract_y
_atom_site_fract_z
Ag1 Ag 0.000 0.000 0.000
Hg1 Hg 0.500 0.500 0.500
Pb1 Pb 0.000 0.000 0.500
```

Values from the calculation:
* polymorph energy (0 for the lowest one): 0.000 eV per atom
* E_form: 0.343 eV/atom
* DOS(E_F): 2.998 states/eV/cell
* volume: 33.95 A^3/atom

No. 2
This record from the Alexandria database describes a relaxed structure of Ag4HgPb. The functional is PBE.

```
data_Ag4HgPb
_chemical_formula_sum 'Ag16 Hg4 Pb4'
_space_group_name_H-M_alt 'F -4 3 m'
_space_group_IT_number 216
_space_group_name_Hall 'F -4 2 3'
_cell_length_a 7.997
_cell_length_b 7.997
_cell_length_c 7.997
_cell_angle_alpha 90.00
_cell_angle_beta 90.00
_cell_angle_gamma 90.00
loop_
_atom_site_label
_atom_site_type_symbol
_atom_site_fract_x
_atom_site_fract_y
_atom_site_fract_z
Ag1 Ag 0.125 0.125 0.125
Hg1 Hg 0.250 0.250 0.750
Pb1 Pb 0.000 0.000 0.500
```

Values from the calculation:
* E_form: 0.104 eV/atom
* DOS(E_F): 12.048 states/eV/cell
* volume: 21.31 A^3/atom

No. 3
This record from the Alexandria database describes a relaxed structure of AgHgPb. The functional is PBE.

```
data_AgHgPb
_chemical_formula_sum 'Ag2 Hg2 Pb2'
_space_group_name_H-M_alt 'P -1'
_space_group_IT_number 2
_cell_length_a 3.802
_cell_length_b 5.473
_cell_length_c 8.089
_cell_angle_alpha 70.83
_cell_angle_beta 89.51
_cell_angle_gamma 69.99
loop_
_space_group_symop_operation_xyz
'x,y,z'
'-x,-y,-z'
loop_
_atom_site_label
_atom_site_type_symbol
_atom_site_fract_x
_atom_site_fract_y
_atom_site_fract_z
Ag1 Ag 0.173 0.153 0.071
Hg1 Hg 0.494 0.503 0.203
Pb1 Pb 0.177 0.155 0.614
```

Values from the calculation:
* polymorph energy (0 for the lowest one): 0.000 eV per atom
* E_form: 0.073 eV/atom
* DOS(E_F): 1.731 states/eV/cell
* volume: 24.73 A^3/atom

No. 4
This record from the Alexandria database describes a relaxed structure of Ag2HgPb2. The functional is PBE.

```
data_Ag2HgPb2
_chemical_formula_sum 'Ag4 Hg2 Pb4'
_space_group_name_H-M_alt 'P 4/m b m'
_space_group_IT_number 127
_space_group_name_Hall '-P 4 2ab'
_cell_length_a 8.758
_cell_length_b 8.758
_cell_length_c 3.403
_cell_angle_alpha 90.00
_cell_angle_beta 90.00
_cell_angle_gamma 90.00
loop_
_atom_site_label
_atom_site_type_symbol
_atom_site_fract_x
_atom_site_fract_y
_atom_site_fract_z
Ag1 Ag 0.119 0.381 0.000
Hg1 Hg 0.000 0.000 0.500
Pb1 Pb 0.176 0.676 0.500
```

Values from the calculation:
* polymorph energy (0 for the lowest one): 0.049 eV per atom
* E_form: 0.131 eV/atom
* DOS(E_F): 4.151 states/eV/cell
* volume: 26.10 A^3/atom

No. 5
This record from the Alexandria database describes a relaxed structure of Ag2HgPb. The functional is PBE.

```
data_Ag2HgPb
_chemical_formula_sum 'Ag6 Hg3 Pb3'
_space_group_name_H-M_alt 'R -3 m'
_space_group_IT_number 166
_space_group_name_Hall '-R 3 2"'
_cell_length_a 3.2784
_cell_length_b 3.2784
_cell_length_c 29.1200
_cell_angle_alpha 90.00
_cell_angle_beta 90.00
_cell_angle_gamma 120.00
loop_
_atom_site_label
_atom_site_type_symbol
_atom_site_fract_x
_atom_site_fract_y
_atom_site_fract_z
Ag1 Ag 0.0000 0.0000 0.2463
Hg1 Hg 0.0000 0.0000 0.5000
Pb1 Pb 0.0000 0.0000 0.0000
```

Values from the calculation:
* E_form: 0.108 eV/atom
* DOS(E_F): 4.120 states/eV/cell
* volume: 22.59 A^3/atom

No. 6
This record from the Alexandria database describes a relaxed structure of Ag2HgPb. The functional is PBE.

```
data_Ag2HgPb
_chemical_formula_sum 'Ag2 Hg1 Pb1'
_space_group_name_H-M_alt 'P 1 2/m 1'
_space_group_IT_number 10
_cell_length_a 5.259
_cell_length_b 3.200
_cell_length_c 5.781
_cell_angle_alpha 90.00
_cell_angle_beta 111.99
_cell_angle_gamma 90.00
loop_
_space_group_symop_operation_xyz
'x,y,z'
'-x,-y,-z'
'-x,y,-z'
'x,-y,z'
loop_
_atom_site_label
_atom_site_type_symbol
_atom_site_fract_x
_atom_site_fract_y
_atom_site_fract_z
Ag1 Ag 0.000 0.000 0.000
Ag2 Ag 0.000 0.500 0.500
Hg1 Hg 0.500 0.000 0.500
Pb1 Pb 0.500 0.500 0.000
```

Values from the calculation:
* E_form: 0.138 eV/atom
* DOS(E_F): 1.586 states/eV/cell
* volume: 22.55 A^3/atom

No. 7
This record from the Alexandria database describes a relaxed structure of Ag2HgPb. The functional is PBE.

```
data_Ag2HgPb
_chemical_formula_sum 'Ag2 Hg1 Pb1'
_space_group_name_H-M_alt 'P 1 2/m 1'
_space_group_IT_number 10
_cell_length_a 3.271
_cell_length_b 3.933
_cell_length_c 6.998
_cell_angle_alpha 90.00
_cell_angle_beta 91.63
_cell_angle_gamma 90.00
loop_
_space_group_symop_operation_xyz
'x,y,z'
'-x,-y,-z'
'-x,y,-z'
'x,-y,z'
loop_
_atom_site_label
_atom_site_type_symbol
_atom_site_fract_x
_atom_site_fract_y
_atom_site_fract_z
Ag1 Ag 0.005 0.000 0.223
Hg1 Hg 0.500 0.500 0.000
Pb1 Pb 0.500 0.500 0.500
```

Values from the calculation:
* E_form: 0.103 eV/atom
* DOS(E_F): 1.514 states/eV/cell
* volume: 22.50 A^3/atom

No. 8
This record from the Alexandria database describes a relaxed structure of Ag3HgPb. The functional is PBE.

```
data_Ag3HgPb
_chemical_formula_sum 'Ag3 Hg1 Pb1'
_space_group_name_H-M_alt 'P m -3 m'
_space_group_IT_number 221
_space_group_name_Hall '-P 4 2 3'
_cell_length_a 5.223
_cell_length_b 5.223
_cell_length_c 5.223
_cell_angle_alpha 90.00
_cell_angle_beta 90.00
_cell_angle_gamma 90.00
loop_
_atom_site_label
_atom_site_type_symbol
_atom_site_fract_x
_atom_site_fract_y
_atom_site_fract_z
Ag1 Ag 0.000 0.000 0.500
Hg1 Hg 0.000 0.000 0.000
Pb1 Pb 0.500 0.500 0.500
```

Values from the calculation:
* polymorph energy (0 for the lowest one): 0.000 eV per atom
* E_form: 0.526 eV/atom
* DOS(E_F): 2.566 states/eV/cell
* volume: 28.49 A^3/atom

No. 9
This record from the Alexandria database describes a relaxed structure of Ag2HgPb2. The functional is PBE.

```
data_Ag2HgPb2
_chemical_formula_sum 'Ag4 Hg2 Pb4'
_space_group_name_H-M_alt 'P 4/m b m'
_space_group_IT_number 127
_space_group_name_Hall '-P 4 2ab'
_cell_length_a 7.531
_cell_length_b 7.531
_cell_length_c 4.401
_cell_angle_alpha 90.00
_cell_angle_beta 90.00
_cell_angle_gamma 90.00
loop_
_atom_site_label
_atom_site_type_symbol
_atom_site_fract_x
_atom_site_fract_y
_atom_site_fract_z
Ag1 Ag 0.133 0.367 0.000
Hg1 Hg 0.000 0.000 0.000
Pb1 Pb 0.166 0.666 0.500
```

Values from the calculation:
* polymorph energy (0 for the lowest one): 0.000 eV per atom
* E_form: 0.083 eV/atom
* DOS(E_F): 4.530 states/eV/cell
* volume: 24.96 A^3/atom

No. 10
This record from the Alexandria database describes a relaxed structure of Ag2HgPb. The functional is PBE.

```
data_Ag2HgPb
_chemical_formula_sum 'Ag4 Hg2 Pb2'
_space_group_name_H-M_alt 'C 1 m 1'
_space_group_IT_number 8
_cell_length_a 10.854
_cell_length_b 3.415
_cell_length_c 5.181
_cell_angle_alpha 90.00
_cell_angle_beta 109.42
_cell_angle_gamma 90.00
loop_
_space_group_symop_operation_xyz
'x,y,z'
'x,-y,z'
'x+1/2,y+1/2,z'
'x+1/2,-y+1/2,z'
loop_
_atom_site_label
_atom_site_type_symbol
_atom_site_fract_x
_atom_site_fract_y
_atom_site_fract_z
Ag1 Ag 0.000 0.000 0.000
Ag2 Ag 0.214 0.500 0.318
Hg1 Hg 0.465 0.000 0.471
Pb1 Pb 0.248 0.000 0.836
```

Values from the calculation:
* E_form: 0.101 eV/atom
* DOS(E_F): 2.172 states/eV/cell
* volume: 22.64 A^3/atom

No. 11
This record from the Alexandria database describes a relaxed structure of AgHgPb. The functional is PBE.

```
data_AgHgPb
_chemical_formula_sum 'Ag4 Hg4 Pb4'
_space_group_name_H-M_alt 'A m m 2'
_space_group_IT_number 38
_cell_length_a 15.262
_cell_length_b 3.292
_cell_length_c 5.992
_cell_angle_alpha 90.00
_cell_angle_beta 90.00
_cell_angle_gamma 90.00
loop_
_space_group_symop_operation_xyz
'x,y,z'
'-x,-y,z'
'-x,y,z'
'x,-y,z'
'x,y+1/2,z+1/2'
'-x,-y+1/2,z+1/2'
'-x,y+1/2,z+1/2'
'x,-y+1/2,z+1/2'
loop_
_atom_site_label
_atom_site_type_symbol
_atom_site_fract_x
_atom_site_fract_y
_atom_site_fract_z
Ag1 Ag 0.146 0.000 0.000
Hg1 Hg 0.000 0.000 0.675
Hg2 Hg 0.500 0.000 0.991
Pb1 Pb 0.306 0.000 0.682
```

Values from the calculation:
* polymorph energy (0 for the lowest one): 0.024 eV per atom
* E_form: 0.097 eV/atom
* DOS(E_F): 5.344 states/eV/cell
* volume: 25.09 A^3/atom

No. 12
This record from the Alexandria database describes a relaxed structure of Ag2HgPb. The functional is PBE.

```
data_Ag2HgPb
_chemical_formula_sum 'Ag2 Hg1 Pb1'
_space_group_name_H-M_alt 'P 1 m 1'
_space_group_IT_number 6
_cell_length_a 3.385
_cell_length_b 4.796
_cell_length_c 5.835
_cell_angle_alpha 90.00
_cell_angle_beta 106.13
_cell_angle_gamma 90.00
loop_
_space_group_symop_operation_xyz
'x,y,z'
'x,-y,z'
loop_
_atom_site_label
_atom_site_type_symbol
_atom_site_fract_x
_atom_site_fract_y
_atom_site_fract_z
Ag1 Ag 0.000 0.000 0.000
Ag2 Ag 0.145 0.500 0.290
Hg1 Hg 0.728 0.000 0.455
Pb1 Pb 0.414 0.500 0.818
```

Values from the calculation:
* E_form: 0.089 eV/atom
* DOS(E_F): 1.470 states/eV/cell
* volume: 22.75 A^3/atom